Compound: MnAgO2
Source: Alexandria via LeMat-Bulk
Functional: PBE with a Hubbard U
Structure: relaxed Values from VASP.

Output
Theoretical density = 6.67 g/cm³
Calculated total energy = -23.92 eV/cell

The structure in Quantum ESPRESSO input format:
```
&SYSTEM
  ibrav = 0, nat = 4, ntyp = 3
/
ATOMIC_SPECIES
O 16.00 O.upf
Mn 54.94 Mn.upf
Ag 107.87 Ag.upf
ATOMIC_POSITIONS crystal
O 0.2739 0.2739 0.1784
O 0.0607 0.0607 0.8180
Mn 0.6670 0.6670 0.9991
Ag 0.4985 0.4985 0.5045
CELL_PARAMETERS angstrom
3.0798 0.0000 0.0000
1.5399 2.6672 0.0000
1.5399 0.8891 5.9038
```